No. 1
Density functional theory data (PBE) for crystalline Cs6K5 at its relaxed geometry.

Computed properties:
Theoretical density: 1.6 g cm⁻³
E_tot: -0.0346 hartree per atom
N(E_F): 11.525 states/eV/cell
ΔE_f: 0.259 eV per formula unit

Cell and atoms, written as extended XYZ:
```
11
Lattice="4.201 -8.674 0.000 4.201 8.674 0.000 -0.141 0.000 14.529" Properties=species:S:1:pos:R:3 pbc="T T T"
Cs 0.007 0.000 4.545
Cs 4.038 2.625 11.736
Cs 4.223 2.625 2.794
Cs 4.038 -2.625 11.736
Cs 4.223 -2.625 2.794
Cs 8.254 0.000 9.984
K 4.201 6.508 0.000
K 4.130 4.705 7.265
K 4.130 0.000 7.265
K 4.130 -4.705 7.265
K 4.201 -6.508 0.000
```

=====

No. 2
Density functional theory data (PBE) for crystalline KZn3Bi3 at its relaxed geometry.

Computed properties:
Theoretical density: 6.0 g cm⁻³
E_tot: -0.0871 hartree per atom
N(E_F): 9.421 states/eV/cell
Relative energy among the computed polymorphs: 43 meV/atom
ΔE_f: -0.034 eV per formula unit

Cell and atoms, written as extended XYZ:
```
14
Lattice="7.826 0.000 0.000 0.000 7.826 0.000 0.000 0.000 7.826" Properties=species:S:1:pos:R:3 pbc="T T T"
K 0.000 0.000 0.000
K 3.913 3.913 3.913
Zn 0.000 1.956 3.913
Zn 0.000 5.869 3.913
Zn 1.956 3.913 0.000
Zn 3.913 0.000 1.956
Zn 3.913 0.000 5.869
Zn 5.869 3.913 0.000
Bi 0.000 3.913 1.956
Bi 0.000 3.913 5.869
Bi 1.956 0.000 3.913
Bi 3.913 1.956 0.000
Bi 3.913 5.869 0.000
Bi 5.869 0.000 3.913
```

=====

No. 3
Density functional theory data (PBE) for crystalline MnIn2OsBr at its relaxed geometry.

Computed properties:
Theoretical density: 6.9 g cm⁻³
Uncorrected formation energy: 8.08 kcal/mol of atoms
E_tot: -0.1896 hartree per atom
N(E_F): 2.600 states/eV/cell

Cell and atoms, written as extended XYZ:
```
5
Lattice="5.304 0.000 0.000 0.000 5.304 0.000 0.000 0.000 4.713" Properties=species:S:1:pos:R:3 pbc="T T T"
Mn 0.000 0.000 0.000
In 0.000 2.652 2.356
In 2.652 0.000 2.356
Os 0.000 0.000 2.356
Br 2.652 2.652 0.000
```

=====

No. 4
Density functional theory data (PBE) for crystalline Eu2MgH at its relaxed geometry.

Computed properties:
Theoretical density: 5.2 g cm⁻³
E_tot: -0.2399 hartree per atom
N(E_F): 3.376 states/eV/cell
Relative energy among the computed polymorphs: 0 meV/atom

Cell and atoms, written as extended XYZ:
```
4
Lattice="1.873 1.082 8.574 -1.873 1.082 8.574 0.000 -2.163 8.574" Properties=species:S:1:pos:R:3 pbc="T T T"
Eu 0.000 0.000 5.765
Eu 0.000 0.000 19.957
Mg 0.000 0.000 0.000
H 0.000 0.000 12.861
```

=====

No. 5
Density functional theory data (PBE) for crystalline PrY6Sc4 at its relaxed geometry.

Computed properties:
Theoretical density: 4.1 g cm⁻³
E_tot: -0.2191 hartree per atom
N(E_F): 18.971 states/eV/cell
ΔE_f: 3.298 eV per formula unit

Cell and atoms, written as extended XYZ:
```
11
Lattice="8.736 0.000 0.000 -4.368 7.566 0.000 0.000 0.000 5.291" Properties=species:S:1:pos:R:3 pbc="T T T"
Pr 0.000 0.000 0.000
Y 0.000 3.033 2.646
Y -1.741 6.049 2.646
Y 4.368 0.509 0.000
Y 2.625 3.528 0.000
Y 1.741 6.049 2.646
Y 6.111 3.528 0.000
Sc 0.000 5.044 0.000
Sc 2.810 1.622 2.646
Sc 5.926 1.622 2.646
Sc 4.368 4.321 2.646
```

=====

No. 6
Density functional theory data (PBE) for crystalline Tl3Sn2Sb4Pb2 at its relaxed geometry.

Computed properties:
Theoretical density: 8.4 g cm⁻³
Uncorrected formation energy: 0.33 kcal/mol of atoms
E_tot: -0.1298 hartree per atom
N(E_F): 5.909 states/eV/cell

Cell and atoms, written as extended XYZ:
```
11
Lattice="5.509 0.000 0.000 -2.754 4.771 0.000 0.000 0.000 13.235" Properties=species:S:1:pos:R:3 pbc="T T T"
Tl 0.000 0.000 0.000
Tl 0.000 0.000 3.544
Tl 0.000 0.000 9.691
Sn 0.000 3.181 8.005
Sn 2.754 1.590 5.230
Sb 0.000 3.181 4.949
Sb 0.000 3.181 11.431
Sb 2.754 1.590 1.804
Sb 2.754 1.590 8.286
Pb 0.000 3.181 1.574
Pb 2.754 1.590 11.660
```

=====

no.,calculated volume (Å³ per cell)
1,1058.8
2,479.3
3,132.6
4,104.2
5,349.7
6,347.8